No. 1
The following is a DFT calculation (PBE-GGA) of a relaxed structure of TaInCuIr.

CIF file:
```
data_TaInCuIr
_cell_length_a 6.3894
_cell_length_b 6.3894
_cell_length_c 6.3894
_cell_angle_alpha 90.00
_cell_angle_beta 90.00
_cell_angle_gamma 90.00
_space_group_name_H-M_alt 'P 1'
_space_group_IT_number 1
loop_
_space_group_symop_operation_xyz
'x,y,z'
loop_
_atom_site_label
_atom_site_type_symbol
_atom_site_fract_x
_atom_site_fract_y
_atom_site_fract_z
_atom_site_occupancy
Ta1 Ta 0.0000 0.0000 0.0000 1
Ta2 Ta 0.0000 0.5000 0.5000 1
Ta3 Ta 0.5000 0.0000 0.5000 1
Ta4 Ta 0.5000 0.5000 0.0000 1
In1 In 0.0000 0.0000 0.5000 1
In2 In 0.0000 0.5000 0.0000 1
In3 In 0.5000 0.0000 0.0000 1
In4 In 0.5000 0.5000 0.5000 1
Cu1 Cu 0.2500 0.2500 0.2500 1
Cu2 Cu 0.2500 0.7500 0.7500 1
Cu3 Cu 0.7500 0.2500 0.7500 1
Cu4 Cu 0.7500 0.7500 0.2500 1
Ir1 Ir 0.2500 0.2500 0.7500 1
Ir2 Ir 0.2500 0.7500 0.2500 1
Ir3 Ir 0.7500 0.2500 0.2500 1
Ir4 Ir 0.7500 0.7500 0.7500 1
```

Raw total energy = -112.92 eV/cell
Formation enthalpy at 0 K = -0.170 eV/atom
Magnetic moment = 0.0 μB per formula unit
Space-group type = No. 216

=====

No. 2
The following is a DFT calculation (PBE-GGA) of a relaxed structure of CaScCd6.

CIF file:
```
data_CaScCd6
_cell_length_a 6.5390
_cell_length_b 6.5390
_cell_length_c 4.9814
_cell_angle_alpha 90.00
_cell_angle_beta 90.00
_cell_angle_gamma 120.00
_space_group_name_H-M_alt 'P 1'
_space_group_IT_number 1
loop_
_space_group_symop_operation_xyz
'x,y,z'
loop_
_atom_site_label
_atom_site_type_symbol
_atom_site_fract_x
_atom_site_fract_y
_atom_site_fract_z
_atom_site_occupancy
Ca1 Ca 0.0000 0.0000 0.0000 1
Sc1 Sc 0.3333 0.6667 0.5000 1
Cd1 Cd 0.0035 0.5018 0.0000 1
Cd2 Cd 0.3463 0.1732 0.5000 1
Cd3 Cd 0.4982 0.5018 0.0000 1
Cd4 Cd 0.4982 0.9965 0.0000 1
Cd5 Cd 0.8268 0.1732 0.5000 1
Cd6 Cd 0.8268 0.6537 0.5000 1
```

Raw total energy = -15.64 eV/cell
Formation enthalpy at 0 K = -0.227 eV/atom
Magnetic moment = 0.0 μB per formula unit
Space-group type = No. 187

=====

No. 3
The following is a DFT calculation (PBE-GGA) of a relaxed structure of NaY2IrC.

CIF file:
```
data_NaY2IrC
_cell_length_a 5.0905
_cell_length_b 5.0905
_cell_length_c 3.9352
_cell_angle_alpha 90.00
_cell_angle_beta 90.00
_cell_angle_gamma 90.00
_space_group_name_H-M_alt 'P 1'
_space_group_IT_number 1
loop_
_space_group_symop_operation_xyz
'x,y,z'
loop_
_atom_site_label
_atom_site_type_symbol
_atom_site_fract_x
_atom_site_fract_y
_atom_site_fract_z
_atom_site_occupancy
Na1 Na 0.0000 0.0000 0.0000 1
Y1 Y 0.0000 0.5000 0.5000 1
Y2 Y 0.5000 0.0000 0.5000 1
Ir1 Ir 0.5000 0.5000 0.0000 1
C1 C 0.5000 0.5000 0.5000 1
```

Raw total energy = -33.71 eV/cell
Formation enthalpy at 0 K = -0.276 eV/atom
Magnetic moment = 0.0 μB per formula unit
Space-group type = No. 123